# 1
Compound: LiOs2Pt
Source: Alexandria via LeMat-Bulk
Functional: PBE
Structure: relaxed

Output
DOS at the Fermi energy: 3.2 states/eV/cell
E_form: 465 meV per atom
Calculated density: 18.167 Mg/m³

a b c (Å): 2.856 2.856 6.527
angles (deg): 90.00 90.00 90.00
Space group P4/mmm (No. 123)
Asymmetric unit:
1 Li 0.000 0.000 0.000 x1
2 Os 0.500 0.500 0.214 x2
3 Pt 0.000 0.000 0.500 x1

***

# 2
Compound: LiOs2Pt
Source: Alexandria via LeMat-Bulk
Functional: PBE
Structure: relaxed

Output
DOS at the Fermi energy: 7.0 states/eV/cell
E_form: 63 meV per atom
Calculated density: 17.100 Mg/m³

a b c (Å): 9.187 2.709 4.586
angles (deg): 90.00 97.60 90.00
Space group C2/m (No. 12)
Asymmetric unit:
1 Li 0.000 0.000 0.000 x2
2 Os 0.240 0.000 0.756 x4
3 Pt 0.000 0.500 0.500 x2